No. 1
Density functional theory data (GGA-PBEsol) for CaIrW2 after structural relaxation.

The structure belongs to space group I4/mmm (No. 139); the cell edges are 3.819, 3.819 and 9.283 Å and the angles 90.00°, 90.00° and 90.00°. The asymmetric unit holds Ca at (0.000, 0.000, 0.000), Ir at (0.000, 0.000, 0.500) and W at (0.000, 0.500, 0.250).

As for the offset from the most stable computed form: 0.1598 eV/atom. The calculated formation energy comes out at 0.6206 eV/atom.

***

No. 2
Density functional theory data (GGA-PBEsol) for Fe2CoSi after structural relaxation.

The structure belongs to space group P4mm (No. 99); the cell edges are 2.792, 2.792 and 5.429 Å and the angles 90.00°, 90.00° and 90.00°. The asymmetric unit holds Fe at (0.000, 0.000, 0.000), Fe at (0.500, 0.500, 0.253), Co at (0.500, 0.500, 0.737) and Si at (0.000, 0.000, 0.494).

The total energy comes out at -32.70 eV per cell.

***

No. 3
Density functional theory data (GGA-PBEsol) for FeSb2O6 after structural relaxation.

The structure belongs to space group P4_2/mnm (No. 136); the cell edges are 4.695, 4.695 and 9.450 Å and the angles 90.00°, 90.00° and 90.00°. The asymmetric unit holds Fe at (0.000, 0.000, 0.000), Sb at (0.000, 0.000, 0.333), O at (0.194, 0.194, 0.500) and O at (0.195, 0.195, 0.168).

The total energy comes out at -123.68 eV per cell.

***

No. 4
Density functional theory data (GGA-PBEsol) for HfScGa2F after structural relaxation.

The structure belongs to space group P4/mmm (No. 123); the cell edges are 5.218, 5.218 and 3.713 Å and the angles 90.00°, 90.00° and 90.00°. The asymmetric unit holds Hf at (0.000, 0.000, 0.000), Sc at (0.500, 0.500, 0.500), Ga at (0.000, 0.500, 0.500) and F at (0.500, 0.500, 0.000).

The total energy comes out at -28.29 eV per cell.

***

No. 5
Density functional theory data (GGA-PBEsol) for FeWAu2 after structural relaxation.

The structure belongs to space group Pmmm (No. 47); the cell edges are 2.831, 4.584 and 4.766 Å and the angles 90.00°, 90.00° and 90.00°. The asymmetric unit holds Fe at (0.000, 0.000, 0.000), W at (0.500, 0.500, 0.000), Au at (0.000, 0.500, 0.500) and Au at (0.500, 0.000, 0.500).

As for the offset from the most stable computed form: 0.3176 eV/atom. The calculated formation energy comes out at 0.5370 eV/atom.

***

No. 6
Density functional theory data (GGA-PBEsol) for Nb2Si2Tc after structural relaxation.

The structure belongs to space group P4/mbm (No. 127); the cell edges are 6.475, 6.475 and 3.538 Å and the angles 90.00°, 90.00° and 90.00°. The asymmetric unit holds Nb at (0.169, 0.331, 0.000), Si at (0.132, 0.632, 0.500) and Tc at (0.000, 0.000, 0.500).

The total energy comes out at -94.83 eV per cell.

***

No. 7
Density functional theory data (GGA-PBEsol) for TiCdS2 after structural relaxation.

The structure belongs to space group I-42d (No. 122); the cell edges are 5.707, 5.707 and 11.253 Å and the angles 90.00°, 90.00° and 90.00°. The asymmetric unit holds Ti at (0.000, 0.000, 0.000), Cd at (0.000, 0.000, 0.500) and S at (0.224, 0.250, 0.125).

The total energy comes out at -83.71 eV per cell.

***

No. 8
Density functional theory data (GGA-PBEsol) for Ti2CoB2 after structural relaxation.

The structure belongs to space group P4/mbm (No. 127); the cell edges are 5.539, 5.539 and 3.277 Å and the angles 90.00°, 90.00° and 90.00°. The asymmetric unit holds Ti at (0.178, 0.322, 0.000), Co at (0.000, 0.000, 0.500) and B at (0.116, 0.616, 0.500).

The calculated formation energy comes out at -0.8241 eV/atom.

***

No. 9
Density functional theory data (GGA-PBEsol) for La5SbPb3 after structural relaxation.

The structure belongs to space group P6_3/mcm (No. 193); the cell edges are 9.8297, 9.8297 and 6.8341 Å and the angles 90.00°, 90.00° and 120.00°. The asymmetric unit holds La at (0.0000, 0.2660, 0.2500), La at (0.3333, 0.6667, 0.0000), Sb at (0.0000, 0.0000, 0.0000) and Pb at (0.0000, 0.3861, 0.7500).

The total energy comes out at -99.97 eV per cell.

***

No. 10
Density functional theory data (GGA-PBEsol) for ScBeAs2 after structural relaxation.

The structure belongs to space group I4/mmm (No. 139); the cell edges are 4.013, 4.013 and 7.969 Å and the angles 90.00°, 90.00° and 90.00°. The asymmetric unit holds Sc at (0.000, 0.000, 0.000), Be at (0.000, 0.000, 0.500) and As at (0.000, 0.500, 0.250).

The calculated formation energy comes out at -0.2362 eV/atom.

***

No. 11
Density functional theory data (GGA-PBEsol) for CaTlCo2 after structural relaxation.

The structure belongs to space group I-4m2 (No. 119); the cell edges are 3.981, 3.981 and 8.489 Å and the angles 90.00°, 90.00° and 90.00°. The asymmetric unit holds Ca at (0.000, 0.000, 0.000), Tl at (0.000, 0.500, 0.750), Co at (0.000, 0.000, 0.500) and Co at (0.000, 0.500, 0.250).

The calculated formation energy comes out at 0.4738 eV/atom.

***

No. 12
Density functional theory data (GGA-PBEsol) for ScMo5 after structural relaxation.

The structure belongs to space group C2/m (No. 12); the cell edges are 10.064, 3.149 and 6.314 Å and the angles 90.00°, 108.53° and 90.00°. The asymmetric unit holds Sc at (0.000, 0.000, 0.000), Mo at (0.000, 0.000, 0.500), Mo at (0.173, 0.500, 0.343) and Mo at (0.173, 0.500, 0.830).

As for the offset from the most stable computed form: 0.0000 eV/atom. The calculated formation energy comes out at 0.0261 eV/atom.

***

No. 13
Density functional theory data (GGA-PBEsol) for AgSnH2 after structural relaxation.

The structure belongs to space group I-42d (No. 122); the cell edges are 4.974, 4.974 and 8.918 Å and the angles 90.00°, 90.00° and 90.00°. The asymmetric unit holds Ag at (0.000, 0.000, 0.000), Sn at (0.000, 0.000, 0.500) and H at (0.140, 0.250, 0.125).

The total energy comes out at -50.56 eV per cell.